No. 1
# K2LiSmCl6, relaxed, DFT PBE
# offset from the most stable computed form = 0.00 kcal/mol of atoms
# raw formation energy = -200.3 kJ/mol of atoms
data_K2LiSmCl6
_chemical_formula_sum 'K4 Li2 Sm2 Cl12'
_cell_length_a 7.256
_cell_length_b 7.515
_cell_length_c 12.553
_cell_angle_alpha 90.00
_cell_angle_beta 124.81
_cell_angle_gamma 90.00
_space_group_name_H-M_alt 'P 1 21/c 1'
_space_group_IT_number 14
loop_
_space_group_symop_operation_xyz
'x,y,z'
'-x,-y,-z'
'-x,y+1/2,-z+1/2'
'x,-y+1/2,z+1/2'
loop_
_atom_site_label
_atom_site_type_symbol
_atom_site_fract_x
_atom_site_fract_y
_atom_site_fract_z
K1 K 0.231 0.060 0.248
Li1 Li 0.000 0.000 0.500
Sm1 Sm 0.500 0.000 0.000
Cl1 Cl 0.157 0.206 0.956
Cl2 Cl 0.253 0.704 0.958
Cl3 Cl 0.328 0.020 0.744

No. 2
# Re4Tc3Ru, relaxed, DFT PBE
# formation energy from the elements = 52 meV per atom
data_Re4Tc3Ru
_chemical_formula_sum 'Re4 Tc3 Ru1'
_cell_length_a 5.509
_cell_length_b 5.509
_cell_length_c 3.884
_cell_angle_alpha 90.00
_cell_angle_beta 90.00
_cell_angle_gamma 90.00
_space_group_name_H-M_alt 'P 4/m m m'
_space_group_IT_number 123
_space_group_name_Hall '-P 4 2'
loop_
_atom_site_label
_atom_site_type_symbol
_atom_site_fract_x
_atom_site_fract_y
_atom_site_fract_z
Re1 Re 0.249 0.249 0.000
Tc1 Tc 0.000 0.500 0.500
Tc2 Tc 0.500 0.500 0.500
Ru1 Ru 0.000 0.000 0.500

No. 3
# Pd2Cl3, relaxed, DFT PBE
# raw formation energy = -22.4 kJ/mol of atoms
data_Pd2Cl3
_chemical_formula_sum 'Pd12 Cl18'
_cell_length_a 6.3077
_cell_length_b 6.3077
_cell_length_c 17.8498
_cell_angle_alpha 90.00
_cell_angle_beta 90.00
_cell_angle_gamma 120.00
_space_group_name_H-M_alt 'R -3 c'
_space_group_IT_number 167
_space_group_name_Hall '-R 3 2"c'
loop_
_atom_site_label
_atom_site_type_symbol
_atom_site_fract_x
_atom_site_fract_y
_atom_site_fract_z
Pd1 Pd 0.0000 0.0000 0.1624
Cl1 Cl 0.0000 0.3294 0.2500

Number 1: final energy -4.07 eV/atom, total moment 0.0 μB/f.u.. Number 2: final energy -11.22 eV/atom, total moment 0.0 μB/f.u.. Number 3: final energy -3.42 eV/atom, total moment 0.0 μB/f.u..